Entry 1:
Here is an optimized crystal structure of Al2FeAg from the Alexandria database. Energies are from PBE-GGA.

abc: 4.6902 4.6902 4.6902
angles: 130.87 130.87 72.03
With the nearest neighbours (Å) after each atom.
Sites, in units of the cell vectors:
1 Al 0.2500 0.7500 0.5000  4 Fe 2.72, 4 Ag 2.72, 4 Al 2.76
2 Al 0.7500 0.2500 0.5000  4 Fe 2.72, 4 Ag 2.72, 4 Al 2.76
3 Fe 0.0000 0.0000 0.0000  8 Al 2.72, 4 Ag 2.76
4 Ag 0.5000 0.5000 0.0000  8 Al 2.72, 4 Fe 2.76

Calculated values
- DOS at the Fermi energy (states/eV/atom) = 0.558
- calculated formation energy (meV per atom) = -29
- energy above the lowest structure with this stoichiometry (meV/atom) = 211
- electronic total energy (eV per atom) = -4.728
- calculated density (Mg/m³) = 6.264
- volume (Å³/atom) = 14.4


Entry 2:
Here is an optimized crystal structure of AlFeAg from the Alexandria database. Energies are from PBE-GGA.

abc: 4.2066 4.2066 4.2066
angles: 60.00 60.00 60.00
With the nearest neighbours (Å) after each atom.
Sites, in units of the cell vectors:
1 Al 0.0000 0.0000 0.0000  4 Fe 2.58
2 Fe 0.7500 0.7500 0.7500  4 Al 2.58, 4 Ag 2.58
3 Ag 0.5000 0.5000 0.5000  4 Fe 2.58

Calculated values
- DOS at the Fermi energy (states/eV/atom) = 0.914
- calculated formation energy (meV per atom) = 424
- energy above the lowest structure with this stoichiometry (meV/atom) = 388
- electronic total energy (eV per atom) = -4.595
- calculated density (Mg/m³) = 6.016
- volume (Å³/atom) = 17.5


Entry 3:
Here is an optimized crystal structure of AlFe2Ag from the Alexandria database. Energies are from PBE-GGA.

abc: 8.9541 8.9541 8.9541
angles: 17.35 17.35 17.35
With the nearest neighbours (Å) after each atom.
Sites, in units of the cell vectors:
1 Al 0.0000 0.0000 0.0000  6 Fe 2.58, 6 Al 2.70
2 Fe 0.2555 0.2555 0.2555  3 Al 2.58, 6 Fe 2.70, 3 Ag 2.82
3 Fe 0.7445 0.7445 0.7445  3 Al 2.58, 6 Fe 2.70, 3 Ag 2.82
4 Ag 0.5000 0.5000 0.5000  6 Ag 2.70, 6 Fe 2.82

Calculated values
- DOS at the Fermi energy (states/eV/atom) = 0.859
- calculated formation energy (meV per atom) = 149
- electronic total energy (eV per atom) = -5.731
- calculated density (Mg/m³) = 7.349
- volume (Å³/atom) = 13.9